(w)
Entry from the Alexandria database: a relaxed structure of TlGa2CoHg (GGA-PBE).

Output
- M_tot: 0.000 μB per atom
- Density: 9.1 g/cm³

Unit cell a=4.623 b=4.623 c=5.178 alpha=90.00 beta=90.00 gamma=90.00
Space group P4/mmm (No. 123)
Symmetry-distinct sites (fractional):
Tl  0.000  0.000  0.000 [1 per cell]
Ga  0.000  0.500  0.500 [2 per cell]
Co  0.500  0.500  0.500 [1 per cell]
Hg  0.500  0.500  0.000 [1 per cell]

(x)
Entry from the Alexandria database: a relaxed structure of TlGa2CoHg (GGA-PBE).

Output
- M_tot: 0.000 μB per atom
- Density: 9.0 g/cm³

Unit cell a=4.657 b=4.657 c=5.128 alpha=90.00 beta=90.00 gamma=90.00
Space group P4/mmm (No. 123)
Symmetry-distinct sites (fractional):
Tl  0.000  0.000  0.000 [1 per cell]
Ga  0.000  0.500  0.500 [2 per cell]
Co  0.000  0.000  0.500 [1 per cell]
Hg  0.500  0.500  0.000 [1 per cell]

In eV/atom, relative to the most stable structure: (w) 0.018; (x) 0.000.